1.
The following is a PBE calculation of La8NdY3 after structural relaxation, from Alexandria.

Results
Space group: I222, No. 23
Magnetic moment: 0.000 μB/f.u.
Energy of formation from the pure elements: 0.255 eV/atom
Crystal system: orthorhombic

Cell lengths 9.268, 9.268, 9.268 Å; angles 73.32, 121.52, 139.84 degrees
Sites, in units of the cell vectors:
La1 0.296 0.368 0.366
La2 0.796 0.722 0.269
Y1 0.000 0.500 0.500
La3 0.002 0.930 0.634
La4 0.454 0.527 0.731
La5 0.704 0.070 0.072
Nd1 0.000 0.000 0.000
La6 0.998 0.632 0.928
La7 0.204 0.473 0.926
Y2 0.500 0.884 0.384
La8 0.546 0.278 0.074
Y3 0.500 0.116 0.616

2.
The following is a PBE calculation of SnWC2 after structural relaxation, from Alexandria.

Results
E above lowest polymorph: 1121 meV/atom
Space group: Fm-3m, No. 225
Magnetic moment: 0.000 μB/f.u.
Energy of formation from the pure elements: 1.994 eV/atom
Crystal system: cubic

Cell lengths 4.059, 4.059, 4.059 Å; angles 60.00, 60.00, 60.00 degrees
Sites, in units of the cell vectors:
W1 0.500 0.500 0.500
C1 0.250 0.250 0.250
C2 0.750 0.750 0.750
Sn1 0.000 0.000 0.000

3.
The following is a PBE calculation of MgScSnPt after structural relaxation, from Alexandria.

Results
Space group: F-43m, No. 216
Magnetic moment: 0.000 μB/f.u.
Energy of formation from the pure elements: -0.688 eV/atom
Crystal system: cubic

Cell lengths 4.786, 4.786, 4.786 Å; angles 60.00, 60.00, 60.00 degrees
Sites, in units of the cell vectors:
Pt1 0.750 0.750 0.750
Sc1 0.500 0.500 0.500
Mg1 0.000 0.000 0.000
Sn1 0.250 0.250 0.250

4.
The following is a PBE calculation of Mn3CoAs3Rh2 after structural relaxation, from Alexandria.

Results
Space group: Amm2, No. 38
Magnetic moment: 9.562 μB/f.u.
Energy of formation from the pure elements: -0.318 eV/atom
Crystal system: orthorhombic

Cell lengths 6.410, 6.410, 3.632 Å; angles 90.00, 90.00, 120.93 degrees
Site moments in Bohr magnetons follow the coordinates.
Sites, in units of the cell vectors:
Rh1 0.260 0.999 0.000  -0.04
As1 0.979 0.979 0.500  -0.07
Co1 0.738 0.738 0.000  -0.21
Mn1 0.411 0.411 0.500  3.38
Mn2 0.998 0.595 0.500  3.29
Rh2 0.999 0.260 0.000  -0.04
Mn3 0.595 0.998 0.500  3.29
As2 0.347 0.672 0.000  -0.10
As3 0.672 0.347 0.000  -0.10

What is the energy of formation from the pure elements in the second record?
1.994 eV/atom